First-principles (PBE with a Hubbard U) data for crystalline VSiF at its relaxed geometry, as listed in Alexandria via LeMat-Bulk.

Cell lengths 13.244, 3.115, 3.115 Å; angles 50.43, 90.00, 90.00 degrees
Atoms (fractional coordinates):
V1 0.000 0.000 0.000
V2 0.500 0.254 0.254
Si1 0.367 0.965 0.965
Si2 0.633 0.965 0.965
F1 0.260 0.483 0.483
F2 0.740 0.483 0.483

Calculated values
The calculated total energy comes out at -5.101 eV/atom. The value obtained for the size of the total moment is 0.662 μB/atom. The calculation puts the density of states at the Fermi level at 0.8 states/eV/f.u.